1.
Ni2BIr after structural relaxation. Source: OQMD, functional PBE-GGA.

a b c (Å): 5.5502 5.5502 5.5502
angles (deg): 90.00 90.00 90.00
Last column: nearest neighbours and their distance in Å.
Space group F-43m (No. 216)
Asymmetric unit:
Ni1 0.0000 0.0000 0.0000 x4  4 Ni 2.40, 4 Ir 2.40
Ni2 0.2500 0.2500 0.2500 x4  4 Ni 2.40, 4 B 2.40
B1 0.0000 0.0000 0.5000 x4  4 Ir 2.40, 4 Ni 2.40
Ir1 0.2500 0.2500 0.7500 x4  4 Ni 2.40, 4 B 2.40

Computed properties:
calculated volume	171.0	Å³/cell
total magnetization	0.24	μB/f.u.
energy	-6.4724	eV/atom

---

2.
NaHfCuTeS2 after structural relaxation. Source: OQMD, functional PBE-GGA.

a b c (Å): 3.7442 14.1970 10.2561
angles (deg): 90.00 90.00 90.00
Last column: nearest neighbours and their distance in Å.
Space group Cmcm (No. 63)
Asymmetric unit:
Na1 0.0000 0.2064 0.2500 x4  4 S 2.95, 2 Cu 3.23, 2 Te 3.26
Hf1 0.0000 0.0000 0.0000 x4  4 S 2.57
Cu1 0.0000 0.4790 0.7500 x4  2 S 2.29
Te1 0.0000 0.1053 0.7500 x4  2 Cu 2.59
S1 0.0000 0.3863 0.5677 x8  1 Cu 2.29

Computed properties:
calculated volume	545.2	Å³/cell
energy above the lowest structure with this stoichiometry	0	meV per atom
total magnetization	0.00	μB/f.u.

---

3.
TlCoCl3 after structural relaxation. Source: OQMD, functional PBE-GGA.

a b c (Å): 5.8685 13.7619 11.9725
angles (deg): 90.00 90.00 90.00
Last column: nearest neighbours and their distance in Å.
Space group Pbca (No. 61)
Asymmetric unit:
Tl1 0.2490 0.1233 0.0815 x8  9 Cl 3.36-3.49
Co1 0.0428 0.6256 0.7503 x8  6 Cl 2.40-2.43
Cl1 0.2041 0.2458 0.8300 x8  2 Co 2.40-2.42
Cl2 0.2057 0.0038 0.8294 x8  2 Co 2.42-2.43
Cl3 0.2062 0.1255 0.5892 x8  2 Co 2.41-2.43

Computed properties:
calculated volume	966.9	Å³/cell
total magnetization	3.01	μB/f.u.
energy	-3.7414	eV/atom

---

4.
Sm3AsP2 after structural relaxation. Source: OQMD, functional PBE-GGA.

a b c (Å): 4.1415 4.1415 10.1537
angles (deg): 90.00 90.00 120.00
Last column: nearest neighbours and their distance in Å.
Space group P-3m1 (No. 164)
Asymmetric unit:
Sm1 0.0000 0.0000 0.0000 x1  6 P 2.92
Sm2 0.3333 0.6667 0.6725 x2  3 P 2.91, 3 As 2.96
As1 0.0000 0.0000 0.5000 x1  6 Sm 2.96
P1 0.3333 0.6667 0.1643 x2  6 Sm 2.91-2.92

Computed properties:
calculated volume	150.8	Å³/cell
total magnetization	0.00	μB/f.u.
energy	-6.4926	eV/atom

---

5.
Cs2PdCl3F after structural relaxation. Source: OQMD, functional PBE-GGA.

a b c (Å): 4.4188 9.4739 10.8040
angles (deg): 90.00 90.00 90.00
Last column: nearest neighbours and their distance in Å.
Space group Amm2 (No. 38)
Asymmetric unit:
Cs1 0.0000 0.2172 0.0000 x4  2 F 3.10
Pd1 0.5000 0.0000 0.7460 x2  1 F 2.05, 1 Cl 2.30
Cl1 0.5000 0.0000 0.5335 x2  1 Pd 2.30
Cl2 0.5000 0.2458 0.7495 x4  1 Pd 2.33
F1 0.5000 0.0000 0.9362 x2  1 Pd 2.05

Computed properties:
calculated volume	452.3	Å³/cell
energy	-3.6313	eV/atom

---

6.
Nb2NiSe4S2 after structural relaxation. Source: OQMD, functional PBE-GGA.

a b c (Å): 13.3152 3.3660 10.6544
angles (deg): 90.00 122.16 90.00
Last column: nearest neighbours and their distance in Å.
Space group C2/m (No. 12)
Asymmetric unit:
Nb1 0.1803 0.0000 0.2933 x4  3 S 2.51-2.62, 4 Se 2.62-2.64
Ni1 0.0000 0.5000 0.0000 x2  4 Se 2.33-2.35
Se1 0.0051 0.5000 0.2223 x4  1 Ni 2.33
Se2 0.2077 0.5000 0.1249 x4  1 Ni 2.35, 2 Nb 2.62
S1 0.1707 0.0000 0.5326 x4  3 Nb 2.51-2.62

Computed properties:
calculated volume	404.3	Å³/cell
energy above the lowest structure with this stoichiometry	15	meV per atom
total magnetization	0.00	μB/f.u.

---

7.
AcNpBe after structural relaxation. Source: OQMD, functional PBE-GGA.

a b c (Å): 6.9410 6.9410 6.9410
angles (deg): 90.00 90.00 90.00
Last column: nearest neighbours and their distance in Å.
Space group F-43m (No. 216)
Asymmetric unit:
Ac1 0.0000 0.0000 0.0000 x4  4 Be 3.01, 4 Np 3.01
Np1 0.2500 0.2500 0.2500 x4  4 Ac 3.01
Be1 0.2500 0.2500 0.7500 x4  4 Ac 3.01

Computed properties:
calculated volume	334.4	Å³/cell
total magnetization	4.21	μB/f.u.
energy	-5.5088	eV/atom

---

8.
NbReB4 after structural relaxation. Source: OQMD, functional PBE-GGA.

a b c (Å): 3.0467 3.0467 6.7429
angles (deg): 90.00 90.00 120.00
Last column: nearest neighbours and their distance in Å.
Space group P6/mmm (No. 191)
Asymmetric unit:
Nb1 0.0000 0.0000 0.0000 x1  12 B 2.45
Re1 0.0000 0.0000 0.5000 x1  12 B 2.42
B1 0.3333 0.6667 0.2530 x4  3 B 1.76

Computed properties:
calculated volume	54.2	Å³/cell
energy above the lowest structure with this stoichiometry	12	meV per atom
total magnetization	0.00	μB/f.u.